Below is K2BeSi after structural relaxation, with properties calculated at the PBE level.

Output
N(E_F): 0.7395 states/eV/atom
Total DFT energy (no corrections): -7.72 eV/cell
Energy relative to the elements, uncorrected: 0.9073 eV/atom

```
K2BeSi
1.0
-2.296 0.223 -2.163
0.665 -2.922 -1.007
-6.980 -4.001 6.997
Be K Si
1 2 1
Direct
0.500 0.500 0.750
0.000 0.000 0.002
0.000 0.000 0.498
0.500 0.500 0.250
```